No. 1
This record from Alexandria via LeMat-Bulk describes a relaxed structure of BaPd2F11. The functional is GGA-PBE.

## Properties
D(E_F) = 66.2 states/eV/cell
M_tot = 4.10 μB per cell
formation energy from raw total energies = -24.39 eV/f.u.

Geometry as CIF:
```
data_BaPd2F11
_cell_length_a 9.3122
_cell_length_b 9.3650
_cell_length_c 11.1260
_cell_angle_alpha 90.00
_cell_angle_beta 90.00
_cell_angle_gamma 90.00
_space_group_name_H-M_alt 'I b a m'
_space_group_IT_number 72
_space_group_name_Hall '-I 2 2c'
loop_
_atom_site_label
_atom_site_fract_x
_atom_site_fract_y
_atom_site_fract_z
Ba1 0.0000 0.0000 0.2500
Pd1 0.1523 0.3456 0.0000
F1 0.0000 0.5000 0.0000
F2 0.0495 0.2419 0.1228
F3 0.2071 0.2973 0.5000
F4 0.2418 0.0537 0.3771
```

No. 2
This record from Alexandria via LeMat-Bulk describes a relaxed structure of CsTl2Cu2Cl6. The functional is GGA-PBE.

## Properties
D(E_F) = 11.3 states/eV/cell
M_tot = 2.06 μB per cell
formation energy from raw total energies = -10.52 eV/f.u.

Geometry as CIF:
```
data_CsTl2Cu2Cl6
_cell_length_a 10.9768
_cell_length_b 7.3216
_cell_length_c 9.9024
_cell_angle_alpha 90.00
_cell_angle_beta 111.17
_cell_angle_gamma 90.00
_space_group_name_H-M_alt 'C 1 2/m 1'
_space_group_IT_number 12
loop_
_space_group_symop_operation_xyz
'x,y,z'
'-x,-y,-z'
'-x,y,-z'
'x,-y,z'
'x+1/2,y+1/2,z'
'-x+1/2,-y+1/2,-z'
'-x+1/2,y+1/2,-z'
'x+1/2,-y+1/2,z'
loop_
_atom_site_label
_atom_site_fract_x
_atom_site_fract_y
_atom_site_fract_z
Cs1 0.0000 0.0000 0.0000
Tl1 0.1839 0.0000 0.6279
Cu1 0.0300 0.5000 0.8061
Cl1 0.0611 0.2551 0.3251
Cl2 0.1824 0.5000 0.0212
```

No. 3
This record from Alexandria via LeMat-Bulk describes a relaxed structure of Na2PaAgS4. The functional is GGA-PBE.

## Properties
M_tot = 0.00 μB per cell
formation energy from raw total energies = -9.40 eV/f.u.

Geometry as CIF:
```
data_Na2PaAgS4
_cell_length_a 6.5330
_cell_length_b 4.0914
_cell_length_c 7.0561
_cell_angle_alpha 90.00
_cell_angle_beta 108.03
_cell_angle_gamma 90.00
_space_group_name_H-M_alt 'P 1 2/m 1'
_space_group_IT_number 10
loop_
_space_group_symop_operation_xyz
'x,y,z'
'-x,-y,-z'
'-x,y,-z'
'x,-y,z'
loop_
_atom_site_label
_atom_site_fract_x
_atom_site_fract_y
_atom_site_fract_z
Na1 0.0000 0.0000 0.0000
Na2 0.5000 0.5000 0.0000
Pa1 0.0000 0.5000 0.5000
Ag1 0.5000 0.0000 0.5000
S1 0.2298 0.0000 0.7231
S2 0.2364 0.5000 0.2684
```

No. 4
This record from Alexandria via LeMat-Bulk describes a relaxed structure of NiSb2Cl. The functional is GGA-PBE.

## Properties
D(E_F) = 3.2 states/eV/cell
M_tot = 0.00 μB per cell
formation energy from raw total energies = 1.05 eV/f.u.

Geometry as CIF:
```
data_NiSb2Cl
_cell_length_a 3.2250
_cell_length_b 4.5186
_cell_length_c 6.0260
_cell_angle_alpha 90.00
_cell_angle_beta 90.00
_cell_angle_gamma 90.00
_space_group_name_H-M_alt 'P m m m'
_space_group_IT_number 47
loop_
_space_group_symop_operation_xyz
'x,y,z'
'-x,-y,-z'
'-x,-y,z'
'x,y,-z'
'x,-y,-z'
'-x,y,z'
'-x,y,-z'
'x,-y,z'
loop_
_atom_site_label
_atom_site_fract_x
_atom_site_fract_y
_atom_site_fract_z
Ni1 0.0000 0.0000 0.0000
Sb1 0.0000 0.5000 0.5000
Sb2 0.5000 0.5000 0.0000
Cl1 0.5000 0.0000 0.5000
```

No. 5
This record from Alexandria via LeMat-Bulk describes a relaxed structure of TmTiW. The functional is GGA-PBE.

## Properties
D(E_F) = 17.6 states/eV/cell
M_tot = 2.69 μB per cell
ΔH_f (0 K) = 0.17 eV per atom

Geometry as CIF:
```
data_TmTiW
_cell_length_a 3.1731
_cell_length_b 3.1731
_cell_length_c 25.5032
_cell_angle_alpha 90.00
_cell_angle_beta 90.00
_cell_angle_gamma 90.00
_space_group_name_H-M_alt 'I 4/m m m'
_space_group_IT_number 139
_space_group_name_Hall '-I 4 2'
loop_
_atom_site_label
_atom_site_fract_x
_atom_site_fract_y
_atom_site_fract_z
Tm1 0.0000 0.0000 0.0673
Ti1 0.0000 0.0000 0.3432
W1 0.0000 0.0000 0.2198
```

No. 6
This record from Alexandria via LeMat-Bulk describes a relaxed structure of Sn2GeBi2. The functional is GGA-PBE.

## Properties
D(E_F) = 5.2 states/eV/cell
M_tot = 0.00 μB per cell
ΔH_f (0 K) = 0.25 eV per atom

Geometry as CIF:
```
data_Sn2GeBi2
_cell_length_a 4.1775
_cell_length_b 4.1775
_cell_length_c 17.3092
_cell_angle_alpha 90.00
_cell_angle_beta 90.00
_cell_angle_gamma 90.00
_space_group_name_H-M_alt 'I 4/m m m'
_space_group_IT_number 139
_space_group_name_Hall '-I 4 2'
loop_
_atom_site_label
_atom_site_fract_x
_atom_site_fract_y
_atom_site_fract_z
Sn1 0.0000 0.5000 0.2500
Ge1 0.0000 0.0000 0.0000
Bi1 0.0000 0.0000 0.4099
```